Computed, not measured: a geometry-optimized BaLiYCu2 structure at the PBE-GGA level of DFT.

The energy relative to the elements comes out at 0.9291 eV/atom. As for the space-group type: P4/mmm.

```
BaLiYCu2
1.0
-4.934 -2.033 -0.118
0.238 -0.282 -5.090
2.021 -4.926 0.368
Y Ba Cu Li
1 1 2 1
direct
0.500 0.500 0.500
0.000 0.000 0.000
0.000 0.000 0.500
0.500 0.000 0.000
0.000 0.500 0.000
```

---

Computed, not measured: a geometry-optimized BaLi2ZnCu structure at the PBE-GGA level of DFT.

Its energy relative to the lowest polymorph listed for this composition is 0.0418 eV/atom. The energy relative to the elements comes out at 0.0488 eV/atom. As for the space-group type: P4/mmm.

```
BaLi2ZnCu
1.0
-3.656 0.270 -3.484
2.086 -3.877 -2.489
-2.687 -3.102 2.579
Zn Ba Cu Li
1 1 1 2
direct
0.000 0.000 0.000
0.500 0.500 0.500
0.000 0.000 0.500
0.000 0.500 0.000
0.500 0.000 0.000
```

---

Computed, not measured: a geometry-optimized Ba2LiZnCu structure at the PBE-GGA level of DFT.

Its energy relative to the lowest polymorph listed for this composition is 0.0450 eV/atom. The energy relative to the elements comes out at 0.0785 eV/atom. As for the space-group type: P4/mmm.

```
Ba2LiZnCu
1.0
-1.000 5.692 -2.175
-6.033 -0.614 1.165
0.665 1.793 4.386
Zn Ba Cu Li
1 2 1 1
direct
0.500 0.500 0.500
0.000 0.500 0.000
0.500 0.000 0.000
0.000 0.000 0.000
0.000 0.000 0.500
```

---

Computed, not measured: a geometry-optimized Ba2LiZn6Cu structure at the PBE-GGA level of DFT.

The energy relative to the elements comes out at -0.0465 eV/atom. As for the space-group type: C2/m.

```
Ba2LiZn6Cu
1.0
-6.302 1.747 -2.341
-2.818 -5.078 3.810
-5.102 1.427 4.473
Ba Li Zn Cu
2 1 6 1
direct
0.750 0.250 0.500
0.250 0.750 0.500
0.000 0.000 0.000
0.252 0.252 0.497
0.748 0.748 0.001
0.252 0.748 0.000
0.748 0.252 0.000
0.252 0.252 0.999
0.748 0.748 0.503
0.500 0.500 0.000
```

---

Computed, not measured: a geometry-optimized BaLiZnCu structure at the PBE-GGA level of DFT.

The energy relative to the elements comes out at -0.0990 eV/atom. As for the space-group type: Cm.

```
BaLiZnCu
1.0
4.470 0.000 0.000
-2.235 3.902 0.006
0.000 -2.586 5.679
Ba Li Zn Cu
1 1 1 1
direct
0.624 0.248 0.512
0.808 0.617 0.068
0.106 0.212 0.959
0.428 0.856 0.928
```

---

Computed, not measured: a geometry-optimized Ba2LiZnCu structure at the PBE-GGA level of DFT.

Its energy relative to the lowest polymorph listed for this composition is 0.0000 eV/atom. The energy relative to the elements comes out at 0.0335 eV/atom. As for the space-group type: P4/mmm.

```
Ba2LiZnCu
1.0
-3.391 -5.198 0.513
4.425 -3.183 -3.011
2.125 -0.976 4.155
Zn Ba Cu Li
1 2 1 1
direct
0.000 0.000 0.500
0.000 0.500 0.000
0.500 0.000 0.000
0.000 0.000 0.000
0.500 0.500 0.500
```

---

Computed, not measured: a geometry-optimized BaLi2ZnCu structure at the PBE-GGA level of DFT.

Its energy relative to the lowest polymorph listed for this composition is 0.0000 eV/atom. The energy relative to the elements comes out at 0.0070 eV/atom. As for the space-group type: P4/mmm.

```
BaLi2ZnCu
1.0
5.054 0.000 0.000
0.000 5.054 0.000
0.000 0.000 4.819
Zn Ba Cu Li
1 1 1 2
direct
0.000 0.000 0.500
0.500 0.500 0.500
0.000 0.000 0.000
0.000 0.500 0.000
0.500 0.000 0.000
```

---

Computed, not measured: a geometry-optimized BaLiZn2Cu structure at the PBE-GGA level of DFT.

The energy relative to the elements comes out at -0.0582 eV/atom. As for the space-group type: P4/mmm.

```
BaLiZn2Cu
1.0
-3.450 -0.157 3.371
0.105 -4.823 -0.118
3.514 -0.011 3.596
Zn Ba Cu Li
2 1 1 1
direct
0.000 0.500 0.000
0.500 0.000 0.000
0.500 0.500 0.500
0.000 0.000 0.000
0.000 0.000 0.500
```

---

Computed, not measured: a geometry-optimized BaLiZrCu2 structure at the PBE-GGA level of DFT.

The energy relative to the elements comes out at 1.3474 eV/atom. As for the space-group type: P4/mmm.

```
BaLiZrCu2
1.0
5.197 0.000 0.000
0.000 4.825 0.000
0.000 0.000 5.197
Cu Ba Zr Li
2 1 1 1
direct
0.000 0.000 0.500
0.500 0.000 0.000
0.000 0.000 0.000
0.500 0.500 0.500
0.000 0.500 0.000
```

---

Computed, not measured: a geometry-optimized BaLuCu2 structure at the PBE-GGA level of DFT.

The energy relative to the elements comes out at -0.0905 eV/atom. As for the space-group type: P4/mmm.

```
BaLuCu2
1.0
-0.279 0.037 -3.602
0.686 -3.546 -0.089
-7.305 -1.427 0.551
Lu Ba Cu
1 1 2
direct
0.500 0.500 0.000
0.500 0.500 0.500
0.000 0.000 0.821
0.000 0.000 0.179
```

---

Computed, not measured: a geometry-optimized Ba4PrLuCu6O14 structure at the PBE-GGA level of DFT.

Its uncorrected formation energy is -4489 kJ/mol of formula units. As for the space-group type: Pmmm.

```
Ba4PrLuCu6O14
1.0
-1.914 3.326 0.331
-3.396 -1.902 -0.517
-1.713 -3.318 23.453
Ba Pr Lu Cu O
4 1 1 6 14
direct
0.500 0.500 0.843
0.500 0.500 0.337
0.500 0.500 0.157
0.500 0.500 0.663
0.500 0.500 0.500
0.500 0.500 0.000
0.000 0.000 0.929
0.000 0.000 0.422
0.000 0.000 0.071
0.000 0.000 0.578
0.000 0.000 0.753
0.000 0.000 0.247
0.000 0.500 0.942
0.000 0.500 0.434
0.000 0.500 0.058
0.000 0.500 0.566
0.000 0.000 0.832
0.000 0.000 0.326
0.000 0.000 0.168
0.000 0.000 0.674
0.000 0.500 0.753
0.000 0.500 0.247
0.500 0.000 0.943
0.500 0.000 0.435
0.500 0.000 0.057
0.500 0.000 0.565
```

---

Computed, not measured: a geometry-optimized BaMg5Cu2 structure at the PBE-GGA level of DFT.

The energy relative to the elements comes out at -0.0821 eV/atom. As for the space-group type: Immm.

```
BaMg5Cu2
1.0
4.217 0.000 1.396
1.522 6.419 2.470
0.008 -0.151 7.043
Ba Mg Cu
1 5 2
direct
0.000 0.000 0.000
0.000 0.500 0.500
0.662 0.523 0.153
0.338 0.477 0.847
0.338 0.847 0.477
0.662 0.153 0.523
0.754 0.746 0.746
0.246 0.254 0.254
```

---

| no. | VASP energy (eV per atom) |
| --- | --- |
| 1 | -2.770 |
| 2 | -2.175 |
| 3 | -2.147 |
| 4 | -1.796 |
| 5 | -2.401 |
| 6 | -2.192 |
| 7 | -2.217 |
| 8 | -2.154 |
| 9 | -2.768 |
| 10 | -3.750 |
| 11 | -6.058 |
| 12 | -2.343 |